Record 1
Here is a relaxed Ni2PtRh7 crystal from Alexandria. Energies are from GGA-PBE.

a = 7.041 Å, b = 16.700 Å, c = 2.667 Å
α = 90.00°, β = 90.00°, γ = 90.00°
Space group Cmmm (No. 65)
Unique sites:
Ni1 0.000 0.236 0.000 x4
Pt1 0.000 0.000 0.500 x2
Rh1 0.000 0.359 0.500 x4
Rh2 0.000 0.500 0.000 x2
Rh3 0.190 0.114 0.000 x8

Calculated values
- Uncorrected energy: -6.4551 eV/atom
- N(E_F): 38.96 states/eV/cell
- Total magnetization: 0.01 μB/f.u.
- Formation enthalpy at 0 K: 0.451 eV per atom



Record 2
Here is a relaxed Ni5Pt4Rh crystal from Alexandria. Energies are from GGA-PBE.

a = 2.701 Å, b = 2.701 Å, c = 18.271 Å
α = 90.00°, β = 90.00°, γ = 90.00°
Space group P4/mmm (No. 123)
Unique sites:
Ni1 0.000 0.000 0.000 x1
Ni2 0.000 0.000 0.201 x2
Ni3 0.000 0.000 0.403 x2
Pt1 0.500 0.500 0.101 x2
Pt2 0.500 0.500 0.301 x2
Rh1 0.500 0.500 0.500 x1

Calculated values
- Uncorrected energy: -6.1172 eV/atom
- N(E_F): 15.64 states/eV/cell
- Total magnetization: 5.55 μB/f.u.
- Formation enthalpy at 0 K: -0.075 eV per atom



Record 3
Here is a relaxed NiPt4Rh crystal from Alexandria. Energies are from GGA-PBE.

a = 7.347 Å, b = 7.347 Å, c = 7.347 Å
α = 90.00°, β = 90.00°, γ = 90.00°
Space group F-43m (No. 216)
Unique sites:
Ni1 0.000 0.000 0.000 x4
Pt1 0.125 0.125 0.625 x16
Rh1 0.250 0.250 0.250 x4

Calculated values
- Uncorrected energy: -5.8472 eV/atom
- N(E_F): 38.27 states/eV/cell
- Total magnetization: 2.86 μB/f.u.
- Formation enthalpy at 0 K: 0.369 eV per atom
- Energy relative to the lowest polymorph listed for this composition: 0.297 eV per atom



Record 4
Here is a relaxed Ni5Pt4Rh2 crystal from Alexandria. Energies are from GGA-PBE.

a = 6.554 Å, b = 2.677 Å, c = 8.648 Å
α = 90.00°, β = 93.81°, γ = 90.00°
Space group P2/m (No. 10)
Unique sites:
Ni1 0.000 0.000 0.000 x1
Ni2 0.067 0.000 0.281 x2
Ni3 0.293 0.000 0.832 x2
Pt1 0.197 0.500 0.565 x2
Pt2 0.326 0.500 0.092 x2
Rh1 0.438 0.000 0.358 x2

Calculated values
- Uncorrected energy: -6.1026 eV/atom
- N(E_F): 16.49 states/eV/cell
- Total magnetization: 6.54 μB/f.u.
- Formation enthalpy at 0 K: 0.059 eV per atom



Record 5
Here is a relaxed NiRuPtRh crystal from Alexandria. Energies are from GGA-PBE.

a = 3.789 Å, b = 3.789 Å, c = 7.644 Å
α = 90.00°, β = 90.00°, γ = 90.00°
Space group I-4m2 (No. 119)
Unique sites:
Ni1 0.000 0.000 0.000 x2
Ru1 0.000 0.000 0.500 x2
Pt1 0.000 0.500 0.250 x2
Rh1 0.000 0.500 0.750 x2

Calculated values
- Uncorrected energy: -7.1218 eV/atom
- N(E_F): 8.98 states/eV/cell
- Total magnetization: 0.00 μB/f.u.
- Formation enthalpy at 0 K: -0.009 eV per atom



Record 6
Here is a relaxed Ni2PtRhS crystal from Alexandria. Energies are from GGA-PBE.

a = 4.590 Å, b = 4.590 Å, c = 4.236 Å
α = 90.00°, β = 90.00°, γ = 90.00°
Space group P4/mmm (No. 123)
Unique sites:
Ni1 0.000 0.500 0.000 x2
Pt1 0.000 0.000 0.500 x1
Rh1 0.500 0.500 0.000 x1
S1 0.500 0.500 0.500 x1

Calculated values
- Formation energy without anion corrections: 1045 meV/atom
- Uncorrected energy: -4.7716 eV/atom
- N(E_F): 8.58 states/eV/cell
- Total magnetization: 2.31 μB/f.u.



Record 7
Here is a relaxed NiSb2PtRh crystal from Alexandria. Energies are from GGA-PBE.

a = 4.696 Å, b = 4.696 Å, c = 4.716 Å
α = 90.00°, β = 90.00°, γ = 90.00°
Space group P4/mmm (No. 123)
Unique sites:
Ni1 0.000 0.000 0.000 x1
Sb1 0.000 0.500 0.000 x2
Pt1 0.000 0.000 0.500 x1
Rh1 0.500 0.500 0.500 x1

Calculated values
- Formation energy without anion corrections: 646 meV/atom
- Uncorrected energy: -4.8381 eV/atom
- N(E_F): 6.81 states/eV/cell
- Total magnetization: 0.00 μB/f.u.



Record 8
Here is a relaxed Sc4NiPtRh2 crystal from Alexandria. Energies are from GGA-PBE.

a = 4.5855 Å, b = 4.5855 Å, c = 22.4257 Å
α = 90.00°, β = 90.00°, γ = 120.00°
Space group R-3m (No. 166, hexagonal axes)
Unique sites:
Sc1 0.0000 0.0000 0.1231 x6
Sc2 0.0000 0.0000 0.3733 x6
Ni1 0.0000 0.0000 0.0000 x3
Pt1 0.0000 0.0000 0.5000 x3
Rh1 0.0000 0.0000 0.2507 x6

Calculated values
- Uncorrected energy: -7.4192 eV/atom
- N(E_F): 15.44 states/eV/cell
- Total magnetization: 0.00 μB/f.u.
- Formation enthalpy at 0 K: -0.938 eV per atom



Record 9
Here is a relaxed Ni2PtRhSe8 crystal from Alexandria. Energies are from GGA-PBE.

a = 8.236 Å, b = 8.236 Å, c = 8.070 Å
α = 90.00°, β = 90.00°, γ = 90.00°
Space group I-4m2 (No. 119)
Unique sites:
Ni1 0.000 0.000 0.000 x2
Ni2 0.000 0.500 0.250 x2
Pt1 0.000 0.500 0.750 x2
Rh1 0.000 0.000 0.500 x2
Se1 0.000 0.166 0.777 x8
Se2 0.000 0.327 0.469 x8

Calculated values
- Formation energy without anion corrections: 140 meV/atom
- Uncorrected energy: -4.2630 eV/atom
- N(E_F): 18.94 states/eV/cell
- Total magnetization: 0.00 μB/f.u.



Record 10
Here is a relaxed NiPtRh2Se crystal from Alexandria. Energies are from GGA-PBE.

a = 4.833 Å, b = 4.833 Å, c = 4.773 Å
α = 90.00°, β = 90.00°, γ = 90.00°
Space group P4/mmm (No. 123)
Unique sites:
Ni1 0.000 0.000 0.000 x1
Pt1 0.500 0.500 0.500 x1
Rh1 0.000 0.500 0.500 x2
Se1 0.500 0.500 0.000 x1

Calculated values
- Formation energy without anion corrections: 1504 meV/atom
- Uncorrected energy: -4.4975 eV/atom
- N(E_F): 15.82 states/eV/cell
- Total magnetization: 0.86 μB/f.u.



Record 11
Here is a relaxed SiNiPtRh2 crystal from Alexandria. Energies are from GGA-PBE.

a = 4.370 Å, b = 4.370 Å, c = 4.450 Å
α = 90.00°, β = 90.00°, γ = 90.00°
Space group P4/mmm (No. 123)
Unique sites:
Si1 0.000 0.000 0.000 x1
Ni1 0.500 0.500 0.500 x1
Pt1 0.000 0.000 0.500 x1
Rh1 0.000 0.500 0.000 x2

Calculated values
- Formation energy without anion corrections: 460 meV/atom
- Uncorrected energy: -5.9293 eV/atom
- N(E_F): 7.92 states/eV/cell
- Total magnetization: 1.85 μB/f.u.



Record 12
Here is a relaxed SiNiPtRh crystal from Alexandria. Energies are from GGA-PBE.

a = 5.946 Å, b = 5.946 Å, c = 5.946 Å
α = 90.00°, β = 90.00°, γ = 90.00°
Space group F-43m (No. 216)
Unique sites:
Si1 0.000 0.000 0.000 x4
Ni1 0.000 0.000 0.500 x4
Pt1 0.250 0.250 0.750 x4
Rh1 0.250 0.250 0.250 x4

Calculated values
- Formation energy without anion corrections: -418 meV/atom
- Uncorrected energy: -6.5669 eV/atom
- N(E_F): 13.40 states/eV/cell
- Total magnetization: 0.00 μB/f.u.



Record 13
Here is a relaxed TaNiPt2Rh2 crystal from Alexandria. Energies are from GGA-PBE.

a = 5.136 Å, b = 5.275 Å, c = 7.024 Å
α = 90.00°, β = 106.84°, γ = 90.00°
Space group P2_1/m (No. 11)
Unique sites:
Ta1 0.075 0.250 0.339 x2
Ni1 0.123 0.750 0.343 x2
Pt1 0.399 0.000 0.665 x4
Rh1 0.166 0.250 0.006 x2
Rh2 0.342 0.750 0.995 x2

Calculated values
- Uncorrected energy: -7.6313 eV/atom
- N(E_F): 10.93 states/eV/cell
- Total magnetization: 0.00 μB/f.u.
- Formation enthalpy at 0 K: -0.228 eV per atom



Record 14
Here is a relaxed TcNiPtRh2 crystal from Alexandria. Energies are from GGA-PBE.

a = 6.656 Å, b = 4.580 Å, c = 5.248 Å
α = 90.00°, β = 100.23°, γ = 90.00°
Space group P2/c (No. 13)
Unique sites:
Tc1 0.000 0.000 0.250 x2
Ni1 0.500 0.411 0.250 x2
Pt1 0.000 0.500 0.000 x2
Rh1 0.331 0.110 0.566 x4

Calculated values
- Uncorrected energy: -7.0310 eV/atom
- N(E_F): 12.87 states/eV/cell
- Total magnetization: 0.93 μB/f.u.
- Formation enthalpy at 0 K: 0.347 eV per atom



Record 15
Here is a relaxed TcNiPt2Rh crystal from Alexandria. Energies are from GGA-PBE.

a = 6.813 Å, b = 4.457 Å, c = 5.353 Å
α = 90.00°, β = 99.38°, γ = 90.00°
Space group P2/c (No. 13)
Unique sites:
Tc1 0.000 0.005 0.250 x2
Ni1 0.500 0.406 0.250 x2
Pt1 0.329 0.108 0.571 x4
Rh1 0.000 0.500 0.000 x2

Calculated values
- Uncorrected energy: -6.8058 eV/atom
- N(E_F): 16.83 states/eV/cell
- Total magnetization: 1.15 μB/f.u.
- Formation enthalpy at 0 K: 0.310 eV per atom



Record 16
Here is a relaxed ThNiPtRh crystal from Alexandria. Energies are from GGA-PBE.

a = 4.030 Å, b = 4.096 Å, c = 4.236 Å
α = 90.00°, β = 90.00°, γ = 90.00°
Space group Pmmm (No. 47)
Unique sites:
Th1 0.000 0.000 0.000 x1
Ni1 0.500 0.000 0.500 x1
Pt1 0.000 0.500 0.500 x1
Rh1 0.500 0.500 0.000 x1

Calculated values
- Uncorrected energy: -7.4444 eV/atom
- N(E_F): 3.84 states/eV/cell
- Total magnetization: 0.40 μB/f.u.
- Formation enthalpy at 0 K: -0.796 eV per atom



Record 17
Here is a relaxed TiNiPtRh crystal from Alexandria. Energies are from GGA-PBE.

a = 3.695 Å, b = 3.822 Å, c = 3.935 Å
α = 90.00°, β = 90.00°, γ = 90.00°
Space group Pmmm (No. 47)
Unique sites:
Ti1 0.000 0.000 0.000 x1
Ni1 0.000 0.500 0.500 x1
Pt1 0.500 0.000 0.500 x1
Rh1 0.500 0.500 0.000 x1

Calculated values
- Uncorrected energy: -7.4853 eV/atom
- N(E_F): 3.25 states/eV/cell
- Total magnetization: 0.41 μB/f.u.
- Formation enthalpy at 0 K: -0.718 eV per atom



Record 18
Here is a relaxed TlNiPtRh crystal from Alexandria. Energies are from GGA-PBE.

a = 6.333 Å, b = 6.333 Å, c = 6.333 Å
α = 90.00°, β = 90.00°, γ = 90.00°
Space group F-43m (No. 216)
Unique sites:
Tl1 0.000 0.000 0.000 x4
Ni1 0.250 0.250 0.750 x4
Pt1 0.000 0.000 0.500 x4
Rh1 0.250 0.250 0.250 x4

Calculated values
- Uncorrected energy: -5.2401 eV/atom
- N(E_F): 23.60 states/eV/cell
- Total magnetization: 0.00 μB/f.u.
- Formation enthalpy at 0 K: 0.145 eV per atom



Record 19
Here is a relaxed UNiPtRh crystal from Alexandria. Energies are from GGA-PBE.

a = 3.919 Å, b = 3.981 Å, c = 4.162 Å
α = 90.00°, β = 90.00°, γ = 90.00°
Space group Pmmm (No. 47)
Unique sites:
U1 0.000 0.000 0.000 x1
Ni1 0.500 0.000 0.500 x1
Pt1 0.000 0.500 0.500 x1
Rh1 0.500 0.500 0.000 x1

Calculated values
- Uncorrected energy: -8.2051 eV/atom
- N(E_F): 5.54 states/eV/cell
- Total magnetization: 1.11 μB/f.u.
- Formation enthalpy at 0 K: -0.590 eV per atom



Record 20
Here is a relaxed U2Ni2Pt5Rh crystal from Alexandria. Energies are from GGA-PBE.

a = 8.992 Å, b = 8.992 Å, c = 4.065 Å
α = 90.00°, β = 90.00°, γ = 90.00°
Space group P4/mbm (No. 127)
Unique sites:
U1 0.179 0.321 0.000 x4
Ni1 0.120 0.620 0.000 x4
Pt1 0.000 0.500 0.500 x2
Pt2 0.075 0.797 0.500 x8
Rh1 0.000 0.000 0.000 x2

Calculated values
- Uncorrected energy: -7.7441 eV/atom
- N(E_F): 28.67 states/eV/cell
- Total magnetization: 1.50 μB/f.u.
- Formation enthalpy at 0 K: -0.575 eV per atom